1.
LiCaAg2 SCAN PBEsol geometry; formation energy = -77 kJ/mol of formula units; N(E_F) = 1.8 states/eV/f.u.; calculated volume = 19.67 Å³/atom; offset from the most stable computed form = 0.18 eV/f.u.
1.0
4.3093 0.0000 0.0000
0.0000 4.3093 0.0000
0.0000 0.0000 8.4747
Li Ca Ag
2 2 4
Cartesian
0.0000 0.0000 0.0000
2.1546 2.1546 4.2373
0.0000 2.1546 6.3560
2.1546 0.0000 2.1187
0.0000 0.0000 4.2373
0.0000 2.1546 2.1187
2.1546 0.0000 6.3560
2.1546 2.1546 0.0000

2.
Ta2MnCr SCAN PBEsol geometry; formation energy = 123 kJ/mol of formula units; N(E_F) = 3.1 states/eV/f.u.; calculated volume = 14.69 Å³/atom
1.0
2.9533 0.0000 0.0000
-1.4766 2.5576 0.0000
0.0000 0.0000 23.3316
Ta Mn Cr
6 3 3
Cartesian
0.0000 0.0000 5.8161
0.0000 0.0000 17.5155
0.0000 1.7051 9.7383
0.0000 1.7051 21.3705
1.4766 0.8525 1.9611
1.4766 0.8525 13.5933
0.0000 0.0000 11.6658
0.0000 1.7051 3.8886
1.4766 0.8525 19.4430
0.0000 0.0000 0.0000
0.0000 1.7051 15.5544
1.4766 0.8525 7.7772

3.
HgC2 SCAN PBEsol geometry; formation energy = 674 kJ/mol of formula units; N(E_F) = 0.6 states/eV/f.u.; calculated volume = 13.86 Å³/atom; offset from the most stable computed form = 5.00 eV/f.u.
1.0
3.3877 0.0000 0.0000
0.0000 19.0984 0.0000
0.0000 0.0000 2.5712
Hg C
4 8
Cartesian
0.0000 3.3034 0.0000
0.0000 15.7949 0.0000
1.6938 6.2458 0.0000
1.6938 12.8526 0.0000
0.0000 0.0000 1.2856
0.0000 8.5972 1.2856
0.0000 9.5492 0.0000
0.0000 10.5012 1.2856
1.6938 0.0000 0.0000
1.6938 0.9520 1.2856
1.6938 9.5492 1.2856
1.6938 18.1463 1.2856

4.
LiLaCl2 SCAN PBEsol geometry; N(E_F) = 0.8 states/eV/f.u.; calculated volume = 20.13 Å³/atom; ΔE_f (raw) = -1.905 eV/atom
1.0
3.5970 0.0000 0.0000
-1.7985 3.1151 0.0000
0.0000 0.0000 21.5610
Li La Cl
3 3 6
Cartesian
0.0000 0.0000 0.0000
0.0000 2.0767 14.3740
1.7985 1.0384 7.1870
0.0000 0.0000 10.7805
0.0000 2.0767 3.5935
1.7985 1.0384 17.9675
0.0000 0.0000 5.7552
0.0000 0.0000 15.8059
0.0000 2.0767 8.6189
0.0000 2.0767 20.1292
1.7985 1.0384 1.4318
1.7985 1.0384 12.9421

5.
CoPb2Au SCAN PBEsol geometry; formation energy = 188 kJ/mol of formula units; N(E_F) = 2.3 states/eV/f.u.; calculated volume = 20.29 Å³/atom; offset from the most stable computed form = 0.45 eV/f.u.
1.0
4.1109 0.0000 0.0000
0.0000 4.1109 0.0000
0.0000 0.0000 9.6054
Co Pb Au
2 4 2
Cartesian
0.0000 0.0000 0.0000
2.0555 2.0555 4.8027
0.0000 0.0000 4.8027
0.0000 2.0555 2.4013
2.0555 0.0000 7.2040
2.0555 2.0555 0.0000
0.0000 2.0555 7.2040
2.0555 0.0000 2.4013

6.
Ta2InRe SCAN PBEsol geometry; formation energy = 3 kJ/mol of formula units; N(E_F) = 2.4 states/eV/f.u.; calculated volume = 17.47 Å³/atom
1.0
3.2628 0.0000 0.0000
0.0000 4.6958 0.0000
0.0000 0.0000 9.1222
Ta In Re
4 2 2
Cartesian
0.0000 0.0000 2.1177
0.0000 0.0000 7.0045
1.6314 2.3479 2.1177
1.6314 2.3479 7.0045
0.0000 2.3479 4.5611
1.6314 0.0000 4.5611
0.0000 2.3479 0.0000
1.6314 0.0000 0.0000

7.
AsOsPbSe2 SCAN PBEsol geometry; N(E_F) = 5.3 states/eV/f.u.; calculated volume = 23.72 Å³/atom; ΔE_f (raw) = 0.422 eV/atom
1.0
5.1051 0.0000 0.0000
0.0000 5.1051 0.0000
0.0000 0.0000 4.5497
As Os Pb Se
1 1 1 2
Cartesian
0.0000 0.0000 0.0000
0.0000 0.0000 2.2749
2.5526 2.5526 0.0000
0.0000 2.5526 2.2749
2.5526 0.0000 2.2749

8.
Nb2ICl SCAN PBEsol geometry; N(E_F) = 6.5 states/eV/f.u.; calculated volume = 17.98 Å³/atom; ΔE_f (raw) = 0.567 eV/atom
1.0
6.6016 0.0000 0.0000
0.0000 6.6016 0.0000
0.0000 0.0000 6.6016
Nb I Cl
8 4 4
Cartesian
1.6504 1.6504 1.6504
1.6504 1.6504 4.9512
1.6504 4.9512 1.6504
1.6504 4.9512 4.9512
4.9512 1.6504 1.6504
4.9512 1.6504 4.9512
4.9512 4.9512 1.6504
4.9512 4.9512 4.9512
0.0000 0.0000 0.0000
0.0000 3.3008 3.3008
3.3008 0.0000 3.3008
3.3008 3.3008 0.0000
0.0000 0.0000 3.3008
0.0000 3.3008 0.0000
3.3008 0.0000 0.0000
3.3008 3.3008 3.3008

Please write out number 8 again, unchanged.
Nb2ICl SCAN PBEsol geometry; N(E_F) = 6.5 states/eV/f.u.; calculated volume = 17.98 Å³/atom; ΔE_f (raw) = 0.567 eV/atom
1.0
6.6016 0.0000 0.0000
0.0000 6.6016 0.0000
0.0000 0.0000 6.6016
Nb I Cl
8 4 4
Cartesian
1.6504 1.6504 1.6504
1.6504 1.6504 4.9512
1.6504 4.9512 1.6504
1.6504 4.9512 4.9512
4.9512 1.6504 1.6504
4.9512 1.6504 4.9512
4.9512 4.9512 1.6504
4.9512 4.9512 4.9512
0.0000 0.0000 0.0000
0.0000 3.3008 3.3008
3.3008 0.0000 3.3008
3.3008 3.3008 0.0000
0.0000 0.0000 3.3008
0.0000 3.3008 0.0000
3.3008 0.0000 0.0000
3.3008 3.3008 3.3008

Question: Which of these has the lowest N(E_F)?
Answer: HgC2